Entry 1:
Entry from Alexandria: a relaxed structure of Ni2Se (PBE).

## Properties
M_tot	0.006	μB per cell
DOS at the Fermi energy	3.41	states/eV/f.u.
volume	47.7	Å³/f.u.
raw formation energy	0.15	eV/atom
raw total energy	-4.86	eV/atom
space-group type	P6_3/mmc, No. 194

abc: 4.9188 4.9188 9.1011
angles: 90.00 90.00 120.00
Last column: nearest neighbours and their distance in Å.
Atoms (fractional coordinates):
Ni 0.0000 0.0000 0.0000  6 Ni 2.64, 6 Se 2.89
Ni 0.0000 0.0000 0.5000  6 Ni 2.64, 6 Se 2.89
Ni 0.1583 0.3165 0.2500  2 Se 2.28, 2 Ni 2.34
Ni 0.1583 0.8417 0.2500  2 Se 2.28, 2 Ni 2.34
Ni 0.3165 0.1583 0.7500  2 Se 2.28, 2 Ni 2.34
Ni 0.6835 0.8417 0.2500  2 Se 2.28, 2 Ni 2.34
Ni 0.8417 0.1583 0.7500  2 Se 2.28, 2 Ni 2.34
Ni 0.8417 0.6835 0.7500  2 Se 2.28, 2 Ni 2.34
Se 0.3333 0.6667 0.0602  3 Ni 2.28
Se 0.3333 0.6667 0.4398  3 Ni 2.28
Se 0.6667 0.3333 0.5602  3 Ni 2.28
Se 0.6667 0.3333 0.9398  3 Ni 2.28

Entry 2:
Entry from Alexandria: a relaxed structure of Ni3Se (PBE).

## Properties
M_tot	0.000	μB per cell
DOS at the Fermi energy	5.40	states/eV/f.u.
volume	48.4	Å³/f.u.
raw formation energy	0.08	eV/atom
offset from the most stable computed form	0.071	eV/atom
raw total energy	-5.12	eV/atom
space-group type	Pmmn, No. 59

abc: 4.1350 5.1472 4.5521
angles: 90.00 90.00 90.00
Last column: nearest neighbours and their distance in Å.
Atoms (fractional coordinates):
Ni 0.2500 0.0016 0.1566  4 Se 2.51-2.73, 8 Ni 2.51-2.63
Ni 0.2500 0.2500 0.6627  8 Ni 2.57-2.63, 4 Se 2.58-2.60
Ni 0.2500 0.4984 0.1566  4 Se 2.51-2.73, 8 Ni 2.51-2.63
Ni 0.7500 0.5016 0.8434  4 Se 2.51-2.73, 8 Ni 2.51-2.63
Ni 0.7500 0.7500 0.3373  8 Ni 2.57-2.63, 4 Se 2.58-2.60
Ni 0.7500 0.9984 0.8434  4 Se 2.51-2.73, 8 Ni 2.51-2.63
Se 0.2500 0.7500 0.6842  12 Ni 2.51-2.73
Se 0.7500 0.2500 0.3158  12 Ni 2.51-2.73

Entry 3:
Entry from Alexandria: a relaxed structure of Ni2Se (PBE).

## Properties
M_tot	0.000	μB per cell
DOS at the Fermi energy	2.64	states/eV/f.u.
volume	41.7	Å³/f.u.
raw formation energy	0.08	eV/atom
raw total energy	-4.94	eV/atom
space-group type	Pnnm, No. 58

abc: 3.2784 6.4861 3.9228
angles: 90.00 90.00 90.00
Last column: nearest neighbours and their distance in Å.
Atoms (fractional coordinates):
Ni 0.2287 0.1657 0.0000  3 Se 2.34-2.36, 1 Ni 2.62
Ni 0.2713 0.6657 0.5000  3 Se 2.34-2.36, 1 Ni 2.62
Ni 0.7287 0.3343 0.5000  3 Se 2.34-2.36, 1 Ni 2.62
Ni 0.7713 0.8343 0.0000  3 Se 2.34-2.36, 1 Ni 2.62
Se 0.0000 0.0000 0.5000  6 Ni 2.34-2.36
Se 0.5000 0.5000 0.0000  6 Ni 2.34-2.36

Entry 4:
Entry from Alexandria: a relaxed structure of Ni3Se4 (PBE).

## Properties
M_tot	1.004	μB per cell
DOS at the Fermi energy	7.12	states/eV/f.u.
volume	112.8	Å³/f.u.
raw formation energy	0.55	eV/atom
raw total energy	-3.92	eV/atom
space-group type	P6/mmm, No. 191

abc: 4.9903 4.9903 5.2297
angles: 90.00 90.00 120.00
Last column: nearest neighbours and their distance in Å.
Atoms (fractional coordinates):
Ni 0.0000 0.5000 0.0000  4 Ni 2.50, 4 Se 2.78
Ni 0.5000 0.0000 0.0000  4 Ni 2.50, 4 Se 2.78
Ni 0.5000 0.5000 0.0000  4 Ni 2.50, 4 Se 2.78
Se 0.0000 0.0000 0.2347  1 Se 2.46
Se 0.0000 0.0000 0.7653  1 Se 2.46
Se 0.3333 0.6667 0.5000  9 Se 2.88-3.20, 6 Ni 2.99
Se 0.6667 0.3333 0.5000  9 Se 2.88-3.20, 6 Ni 2.99

Entry 5:
Entry from Alexandria: a relaxed structure of Ni3Se (PBE).

## Properties
M_tot	0.000	μB per cell
DOS at the Fermi energy	3.91	states/eV/f.u.
volume	50.3	Å³/f.u.
raw formation energy	0.22	eV/atom
offset from the most stable computed form	0.207	eV/atom
raw total energy	-4.99	eV/atom
space-group type	R-3m, No. 166

abc: 7.7996 7.7996 2.8661
angles: 90.00 90.00 120.00
Last column: nearest neighbours and their distance in Å.
Atoms (fractional coordinates):
Ni 0.0000 0.5000 0.0000  2 Se 2.45, 4 Ni 2.45
Ni 0.1667 0.3333 0.3333  4 Ni 2.45, 2 Se 2.45
Ni 0.1667 0.8333 0.3333  2 Se 2.45, 4 Ni 2.45
Ni 0.3333 0.1667 0.6667  4 Ni 2.45, 2 Se 2.45
Ni 0.5000 0.0000 0.0000  2 Se 2.45, 4 Ni 2.45
Ni 0.5000 0.5000 0.0000  4 Ni 2.45, 2 Se 2.45
Ni 0.6667 0.8333 0.3333  4 Ni 2.45, 2 Se 2.45
Ni 0.8333 0.1667 0.6667  2 Se 2.45, 4 Ni 2.45
Ni 0.8333 0.6667 0.6667  4 Ni 2.45, 2 Se 2.45
Se 0.0000 0.0000 0.0000  6 Ni 2.45
Se 0.3333 0.6667 0.6667  6 Ni 2.45
Se 0.6667 0.3333 0.3333  6 Ni 2.45

Entry 6:
Entry from Alexandria: a relaxed structure of NiSe5 (PBE).

## Properties
M_tot	0.000	μB per cell
DOS at the Fermi energy	1.10	states/eV/f.u.
volume	159.9	Å³/f.u.
raw formation energy	0.00	eV/atom
offset from the most stable computed form	0.070	eV/atom
raw total energy	-3.87	eV/atom
space-group type	P-1, No. 2

abc: 3.6607 6.6630 7.2658
angles: 113.79 97.60 92.33
Last column: nearest neighbours and their distance in Å.
Atoms (fractional coordinates):
Ni 0.0000 0.0000 0.0000  6 Se 2.40-2.41
Se 0.1187 0.1943 0.7943  1 Ni 2.41, 2 Se 2.52-2.63
Se 0.4532 0.7438 0.8823  2 Ni 2.40-2.41, 1 Se 2.52
Se 0.5000 0.0000 0.5000  4 Se 2.63-2.76
Se 0.5468 0.2562 0.1177  2 Ni 2.40-2.41, 1 Se 2.52
Se 0.8813 0.8057 0.2057  1 Ni 2.41, 2 Se 2.52-2.63

Entry 7:
Entry from Alexandria: a relaxed structure of Ni2Se (PBE).

## Properties
M_tot	0.020	μB per cell
DOS at the Fermi energy	3.91	states/eV/f.u.
volume	48.8	Å³/f.u.
raw formation energy	-0.18	eV/atom
raw total energy	-5.19	eV/atom
space-group type	Cmcm, No. 63

abc: 3.5914 14.9240 3.6451
angles: 90.00 90.00 90.00
Last column: nearest neighbours and their distance in Å.
Atoms (fractional coordinates):
Ni 0.0000 0.0591 0.2500  2 Se 2.33, 8 Ni 2.52-2.56
Ni 0.0000 0.4402 0.2500  2 Se 2.30, 8 Ni 2.52-2.56
Ni 0.0000 0.5598 0.7500  2 Se 2.30, 8 Ni 2.52-2.56
Ni 0.0000 0.9409 0.7500  2 Se 2.33, 8 Ni 2.52-2.56
Ni 0.5000 0.0598 0.7500  2 Se 2.30, 8 Ni 2.52-2.56
Ni 0.5000 0.4409 0.7500  2 Se 2.33, 8 Ni 2.52-2.56
Ni 0.5000 0.5591 0.2500  2 Se 2.33, 8 Ni 2.52-2.56
Ni 0.5000 0.9402 0.2500  2 Se 2.30, 8 Ni 2.52-2.56
Se 0.0000 0.1564 0.7500  4 Ni 2.30-2.33
Se 0.0000 0.8436 0.2500  4 Ni 2.30-2.33
Se 0.5000 0.3436 0.2500  4 Ni 2.30-2.33
Se 0.5000 0.6564 0.7500  4 Ni 2.30-2.33

Entry 8:
Entry from Alexandria: a relaxed structure of Ni4Se (PBE).

## Properties
M_tot	0.812	μB per cell
DOS at the Fermi energy	9.13	states/eV/f.u.
volume	59.3	Å³/f.u.
raw formation energy	0.07	eV/atom
raw total energy	-5.25	eV/atom
space-group type	I4/m, No. 87

abc: 5.6227 5.6227 3.7488
angles: 90.00 90.00 90.00
Last column: nearest neighbours and their distance in Å.
Atoms (fractional coordinates):
Ni 0.1094 0.3109 0.0000  3 Se 2.44-2.64, 9 Ni 2.46-2.62
Ni 0.1891 0.6094 0.5000  3 Se 2.44-2.64, 9 Ni 2.46-2.62
Ni 0.3109 0.8906 0.0000  3 Se 2.44-2.64, 9 Ni 2.46-2.62
Ni 0.3906 0.1891 0.5000  3 Se 2.44-2.64, 9 Ni 2.46-2.62
Ni 0.6094 0.8109 0.5000  3 Se 2.44-2.64, 9 Ni 2.46-2.62
Ni 0.6891 0.1094 0.0000  3 Se 2.44-2.64, 9 Ni 2.46-2.62
Ni 0.8109 0.3906 0.5000  3 Se 2.44-2.64, 9 Ni 2.46-2.62
Ni 0.8906 0.6891 0.0000  3 Se 2.44-2.64, 9 Ni 2.46-2.62
Se 0.0000 0.0000 0.5000  12 Ni 2.44-2.64
Se 0.5000 0.5000 0.0000  12 Ni 2.44-2.64